No. 1
Compound: Sr4P2F
Source: Alexandria via LeMat-Bulk
Functional: PBE
Structure: optimized geometry

Structure (POSCAR):
```
Sr4P2F
1.0
4.863 0.000 0.000
0.000 4.863 0.000
2.432 2.432 8.180
Sr F P
4 1 2
direct
0.188 0.188 0.624 Sr
0.000 0.500 0.000 Sr
0.500 0.000 0.000 Sr
0.812 0.812 0.376 Sr
0.000 0.000 0.000 F
0.628 0.628 0.744 P
0.372 0.372 0.256 P
```

Computed properties:
Uncorrected formation energy ... -9.9 eV/f.u.
Total DFT energy (no corrections) ... -0.1538 Ha/atom

No. 2
Compound: SrZrP2F
Source: Alexandria via LeMat-Bulk
Functional: PBE
Structure: optimized geometry

Structure (POSCAR):
```
SrZrP2F
1.0
-0.598 3.899 3.015
-1.114 -2.609 3.153
4.753 -0.347 1.392
P Sr Zr F
2 1 1 1
direct
0.000 0.000 0.500 P
0.500 0.000 0.000 P
0.000 0.500 0.000 Sr
0.500 0.500 0.500 Zr
0.000 0.000 0.000 F
```

Computed properties:
Uncorrected formation energy ... -2.0 eV/f.u.
Total DFT energy (no corrections) ... -0.1828 Ha/atom

No. 3
Compound: TaP2F
Source: Alexandria via LeMat-Bulk
Functional: PBE
Structure: optimized geometry

Structure (POSCAR):
```
TaP2F
1.0
-1.661 -0.028 -5.269
-2.344 -4.944 0.765
-6.711 -0.026 -0.781
F Ta P
2 2 4
direct
0.500 0.500 0.000 F
0.250 0.750 0.500 F
0.750 0.250 0.500 Ta
0.000 0.000 0.000 Ta
0.875 0.881 0.750 P
0.631 0.125 0.250 P
0.375 0.369 0.750 P
0.119 0.625 0.250 P
```

Computed properties:
Uncorrected formation energy ... -0.1 eV/f.u.
Total DFT energy (no corrections) ... -0.2263 Ha/atom
Energy above the lowest structure with this stoichiometry ... 229 meV per atom

No. 4
Compound: Ta2PF
Source: Alexandria via LeMat-Bulk
Functional: PBE
Structure: optimized geometry

Structure (POSCAR):
```
Ta2PF
1.0
6.410 0.000 0.000
0.000 6.410 0.000
3.205 3.205 2.883
Ta P F
4 2 2
direct
0.170 0.625 0.250 Ta
0.875 0.830 0.750 Ta
0.375 0.420 0.750 Ta
0.580 0.125 0.250 Ta
0.000 0.000 0.000 P
0.750 0.250 0.500 P
0.250 0.750 0.500 F
0.500 0.500 0.000 F
```

Computed properties:
Uncorrected formation energy ... -1.8 eV/f.u.
Total DFT energy (no corrections) ... -0.3009 Ha/atom
Energy above the lowest structure with this stoichiometry ... 214 meV per atom

No. 5
Compound: Ta2PF
Source: Alexandria via LeMat-Bulk
Functional: PBE
Structure: optimized geometry

Structure (POSCAR):
```
Ta2PF
1.0
0.000 3.039 3.039
3.039 0.000 3.039
3.039 3.039 0.000
P Ta F
1 2 1
direct
0.500 0.500 0.500 P
0.750 0.750 0.750 Ta
0.250 0.250 0.250 Ta
0.000 0.000 0.000 F
```

Computed properties:
Uncorrected formation energy ... -2.6 eV/f.u.
Total DFT energy (no corrections) ... -0.3088 Ha/atom
Energy above the lowest structure with this stoichiometry ... 0 meV per atom

No. 6
Compound: TaP2F
Source: Alexandria via LeMat-Bulk
Functional: PBE
Structure: optimized geometry

Structure (POSCAR):
```
TaP2F
1.0
0.000 3.061 3.061
3.061 0.000 3.061
3.061 3.061 0.000
P F Ta
2 1 1
direct
0.750 0.750 0.750 P
0.250 0.250 0.250 P
0.000 0.000 0.000 F
0.500 0.500 0.500 Ta
```

Computed properties:
Uncorrected formation energy ... -1.0 eV/f.u.
Total DFT energy (no corrections) ... -0.2347 Ha/atom
Energy above the lowest structure with this stoichiometry ... 0 meV per atom

No. 7
Compound: TaPF3
Source: Alexandria via LeMat-Bulk
Functional: PBE
Structure: optimized geometry

Structure (POSCAR):
```
TaPF3
1.0
4.217 0.000 0.000
0.000 4.217 0.000
0.000 0.000 4.217
F Ta P
3 1 1
direct
0.000 0.500 0.000 F
0.500 0.000 0.000 F
0.000 0.000 0.500 F
0.000 0.000 0.000 Ta
0.500 0.500 0.500 P
```

Computed properties:
Uncorrected formation energy ... -5.9 eV/f.u.
Total DFT energy (no corrections) ... -0.2112 Ha/atom
Energy above the lowest structure with this stoichiometry ... 0 meV per atom

No. 8
Compound: TaPF3
Source: Alexandria via LeMat-Bulk
Functional: PBE
Structure: optimized geometry

Structure (POSCAR):
```
TaPF3
1.0
-1.909 -2.393 2.993
3.172 -2.863 -0.266
2.150 2.099 3.050
F P Ta
3 1 1
direct
0.000 0.500 0.000 F
0.000 0.000 0.500 F
0.500 0.000 0.000 F
0.000 0.000 0.000 P
0.500 0.500 0.500 Ta
```

Computed properties:
Uncorrected formation energy ... 0.5 eV/f.u.
Total DFT energy (no corrections) ... -0.1641 Ha/atom
Energy above the lowest structure with this stoichiometry ... 1282 meV per atom

No. 9
Compound: TaTcP2F
Source: Alexandria via LeMat-Bulk
Functional: PBE
Structure: optimized geometry

Structure (POSCAR):
```
TaTcP2F
1.0
-2.607 -1.832 3.054
2.956 -1.991 1.328
0.960 3.284 2.788
P F Ta Tc
2 1 1 1
direct
0.500 0.000 0.000 P
0.000 0.000 0.500 P
0.000 0.000 0.000 F
0.500 0.500 0.500 Ta
0.000 0.500 0.000 Tc
```

Computed properties:
Uncorrected formation energy ... 2.8 eV/f.u.
Total DFT energy (no corrections) ... -0.2360 Ha/atom

No. 10
Compound: TaTi2PF
Source: Alexandria via LeMat-Bulk
Functional: PBE
Structure: optimized geometry

Structure (POSCAR):
```
TaTi2PF
1.0
-1.292 3.941 -2.427
-0.256 -2.014 -3.134
-4.617 -0.918 0.967
F Ta P Ti
1 1 1 2
direct
0.000 0.500 0.000 F
0.500 0.500 0.500 Ta
0.000 0.000 0.000 P
0.000 0.000 0.500 Ti
0.500 0.000 0.000 Ti
```

Computed properties:
Uncorrected formation energy ... 0.3 eV/f.u.
Total DFT energy (no corrections) ... -0.2542 Ha/atom